No. 1
# CsGaSe

A relaxed structure of CsGaSe (PBE, Alexandria).

Raw formation energy (eV per atom): -0.64
Total magnetic moment (μB/atom): 0.000
Energy relative to the lowest polymorph listed for this composition (meV/atom): 91
Space-group type: P3m1, No. 156

Geometry as CIF:
```
data_CsGaSe
_chemical_formula_sum 'Cs1 Ga1 Se1'
_symmetry_space_group_name_H-M 'P 1'
_symmetry_Int_Tables_number 1
_cell_length_a 4.412
_cell_length_b 4.412
_cell_length_c 6.439
_cell_angle_alpha 90.00
_cell_angle_beta 90.00
_cell_angle_gamma 120.00
loop_
_symmetry_equiv_pos_as_xyz
'x,y,z'
loop_
_atom_site_label
_atom_site_type_symbol
_atom_site_fract_x
_atom_site_fract_y
_atom_site_fract_z
Cs1 Cs 0.000 0.000 0.000
Ga1 Ga 0.333 0.667 0.568
Se1 Se 0.667 0.333 0.384
```



No. 2
# CsGa3Se

A relaxed structure of CsGa3Se (PBE, Alexandria).

Raw formation energy (eV per atom): 0.20
Total magnetic moment (μB/atom): 0.000
Energy relative to the lowest polymorph listed for this composition (meV/atom): 0
Space-group type: Pm-3m, No. 221

Geometry as CIF:
```
data_CsGa3Se
_chemical_formula_sum 'Cs1 Ga3 Se1'
_symmetry_space_group_name_H-M 'P 1'
_symmetry_Int_Tables_number 1
_cell_length_a 5.732
_cell_length_b 5.732
_cell_length_c 5.732
_cell_angle_alpha 90.00
_cell_angle_beta 90.00
_cell_angle_gamma 90.00
loop_
_symmetry_equiv_pos_as_xyz
'x,y,z'
loop_
_atom_site_label
_atom_site_type_symbol
_atom_site_fract_x
_atom_site_fract_y
_atom_site_fract_z
Cs1 Cs 0.000 0.000 0.000
Ga1 Ga 0.000 0.500 0.500
Ga2 Ga 0.500 0.000 0.500
Ga3 Ga 0.500 0.500 0.000
Se1 Se 0.500 0.500 0.500
```



- Look up the raw formation energy of the first one.
  -0.64 eV per atom



- Which of these has the lowest raw formation energy?
  CsGaSe



- The lowest raw formation energy belongs to which entry?
  CsGaSe



- Which value of total magnetic moment does entry 1 give?
  0.000 μB/atom